# Li3V2O4F4

A geometry-optimized Li3V2O4F4 structure (PBE with a Hubbard U, the Alexandria database).

```
Li3V2O4F4
1.0
6.480 0.000 0.000
0.000 3.572 0.000
-2.733 0.000 6.647
Li V O F
3 2 4 4
Cartesian
0.000 0.000 0.000
-0.616 0.000 2.667
-0.070 1.786 5.190
2.907 0.000 1.201
3.422 1.786 3.998
-0.139 0.000 6.194
3.001 1.786 1.711
3.431 0.000 3.483
3.850 1.786 5.626
-1.058 1.786 3.473
0.995 0.000 1.658
1.557 1.786 4.265
4.865 0.000 1.026
```

Calculated values
- excess energy over the best structure of this formula in the dataset (eV per atom) = 0.000
- theoretical density (g/cm3) = 2.8
- SG = Pm, No. 6